P) 5
Lattice="5.213 0.000 0.000 0.000 5.213 0.000 0.000 0.000 5.291" Properties=species:S:1:pos:R:3 comment="NbSbSCl2, optimized geometry, DFT PBE-GGA" rho_g_cm3=3.67 sg="P4/mmm, No. 123" pbc="T T T"
Nb 0.000 0.000 0.000
Sb 2.607 2.607 2.645
S 2.607 2.607 0.000
Cl 0.000 2.607 2.645
Cl 2.607 0.000 2.645

Q) 5
Lattice="4.981 0.000 0.000 0.000 4.981 0.000 0.000 0.000 4.910" Properties=species:S:1:pos:R:3 comment="NbSbSCl2, optimized geometry, DFT PBE-GGA" rho_g_cm3=4.33 sg="P4/mmm, No. 123" pbc="T T T"
Nb 0.000 0.000 0.000
Sb 2.490 2.490 2.455
S 0.000 0.000 2.455
Cl 0.000 2.490 0.000
Cl 2.490 0.000 0.000

Which one is most stable, and which one is least stable? Q) is the most stable of them, while P) is the least stable.

P) 5
Lattice="4.831 0.000 0.000 0.000 4.831 0.000 0.000 0.000 4.948" Properties=species:S:1:pos:R:3 comment="NbSeS2Cl, optimized geometry, DFT PBE-GGA" rho_g_cm3=3.90 sg="P4/mmm, No. 123" pbc="T T T"
Nb 0.000 0.000 0.000
Se 2.416 2.416 2.474
S 0.000 2.416 0.000
S 2.416 0.000 0.000
Cl 0.000 0.000 2.474

Q) 5
Lattice="4.891 0.000 0.000 0.000 4.891 0.000 0.000 0.000 4.662" Properties=species:S:1:pos:R:3 comment="NbSeS2Cl, optimized geometry, DFT PBE-GGA" rho_g_cm3=4.04 sg="P4/mmm, No. 123" pbc="T T T"
Nb 0.000 0.000 0.000
Se 2.445 2.445 2.331
S 0.000 2.445 2.331
S 2.445 0.000 2.331
Cl 2.445 2.445 0.000

Which one is most stable, and which one is least stable? P) is the most stable of them, while Q) is the least stable.

P) 5
Lattice="4.944 0.000 0.000 0.000 4.944 0.000 0.000 0.000 4.802" Properties=species:S:1:pos:R:3 comment="NbSeSCl2, optimized geometry, DFT PBE-GGA" rho_g_cm3=3.89 sg="P4/mmm, No. 123" pbc="T T T"
Nb 0.000 0.000 0.000
Se 2.472 2.472 2.401
S 0.000 0.000 2.401
Cl 0.000 2.472 0.000
Cl 2.472 0.000 0.000

Q) 5
Lattice="4.960 0.000 0.000 0.000 4.960 0.000 0.000 0.000 4.973" Properties=species:S:1:pos:R:3 comment="NbSeSCl2, optimized geometry, DFT PBE-GGA" rho_g_cm3=3.73 sg="P4/mmm, No. 123" pbc="T T T"
Nb 0.000 0.000 0.000
Se 2.480 2.480 2.487
S 2.480 2.480 0.000
Cl 0.000 2.480 2.487
Cl 2.480 0.000 2.487

Which one is most stable, and which one is least stable? P) is the most stable of them, while Q) is the least stable.

P) 5
Lattice="4.689 0.000 0.000 0.000 4.689 0.000 0.000 0.000 4.836" Properties=species:S:1:pos:R:3 comment="NbSiSCl2, optimized geometry, DFT PBE-GGA" rho_g_cm3=3.50 sg="P4/mmm, No. 123" pbc="T T T"
Nb 0.000 0.000 0.000
Si 2.345 2.345 2.418
S 2.345 2.345 0.000
Cl 0.000 2.345 2.418
Cl 2.345 0.000 2.418

Q) 5
Lattice="4.890 0.000 0.000 0.000 4.890 0.000 0.000 0.000 4.863" Properties=species:S:1:pos:R:3 comment="NbSiSCl2, optimized geometry, DFT PBE-GGA" rho_g_cm3=3.20 sg="P4/mmm, No. 123" pbc="T T T"
Nb 0.000 0.000 0.000
Si 2.445 2.445 2.431
S 0.000 0.000 2.431
Cl 0.000 2.445 0.000
Cl 2.445 0.000 0.000

Which one is most stable, and which one is least stable? Q) is the most stable of them, while P) is the least stable.

P) 5
Lattice="4.817 0.000 0.000 0.000 4.817 0.000 0.000 0.000 4.839" Properties=species:S:1:pos:R:3 comment="TaNbSCl2, optimized geometry, DFT PBE-GGA" rho_g_cm3=5.57 sg="P4/mmm, No. 123" pbc="T T T"
Ta 0.000 0.000 0.000
Nb 2.408 2.408 2.420
S 0.000 0.000 2.420
Cl 0.000 2.408 0.000
Cl 2.408 0.000 0.000

Q) 5
Lattice="4.819 0.000 0.000 0.000 4.819 0.000 0.000 0.000 4.928" Properties=species:S:1:pos:R:3 comment="TaNbSCl2, optimized geometry, DFT PBE-GGA" rho_g_cm3=5.47 sg="P4/mmm, No. 123" pbc="T T T"
Ta 0.000 0.000 0.000
Nb 2.409 2.409 2.464
S 2.409 2.409 0.000
Cl 0.000 2.409 2.464
Cl 2.409 0.000 2.464

Which one is most stable, and which one is least stable? P) is the most stable of them, while Q) is the least stable.

P) 5
Lattice="4.588 0.000 0.000 0.000 4.588 0.000 0.000 0.000 4.631" Properties=species:S:1:pos:R:3 comment="NbTcS2Cl, optimized geometry, DFT PBE-GGA" rho_g_cm3=4.95 sg="P4/mmm, No. 123" pbc="T T T"
Nb 0.000 0.000 0.000
Tc 2.294 2.294 2.315
S 0.000 2.294 2.315
S 2.294 0.000 2.315
Cl 2.294 2.294 0.000

Q) 5
Lattice="4.835 0.000 0.000 0.000 4.835 0.000 0.000 0.000 4.809" Properties=species:S:1:pos:R:3 comment="NbTcS2Cl, optimized geometry, DFT PBE-GGA" rho_g_cm3=4.29 sg="P4/mmm, No. 123" pbc="T T T"
Nb 0.000 0.000 0.000
Tc 2.418 2.418 2.405
S 0.000 2.418 0.000
S 2.418 0.000 0.000
Cl 0.000 0.000 2.405

Which one is most stable, and which one is least stable? Q) is the most stable of them, while P) is the least stable.